An optimized crystal structure of YIrSe2. Source: Alexandria via LeMat-Bulk, functional PBE.

## Properties
Crystal system: tetragonal
Density of states at the Fermi level: 0.34 states/eV/atom
ΔE_f (raw): -66.93 kJ per mole of atoms
E above lowest polymorph: 0.231 eV per atom

Cell and atoms, written as POSCAR:
```
YIrSe2
1.0
3.5075 0.0000 0.0000
0.0000 3.5075 0.0000
0.0000 0.0000 7.7826
Y Ir Se
1 1 2
direct
0.0000 0.0000 0.0000 Y
0.5000 0.5000 0.2869 Ir
0.0000 0.0000 0.3838 Se
0.5000 0.5000 0.8290 Se
```

An optimized crystal structure of SrPOsCl2. Source: Alexandria via LeMat-Bulk, functional PBE.

## Properties
Crystal system: tetragonal
Density of states at the Fermi level: 1.51 states/eV/atom
ΔE_f (raw): 80.35 kJ per mole of atoms
E above lowest polymorph: 1.327 eV per atom

Cell and atoms, written as POSCAR:
```
SrPOsCl2
1.0
5.3993 0.0000 0.0000
0.0000 5.3993 0.0000
0.0000 0.0000 6.2314
Sr P Os Cl
1 1 1 2
direct
0.0000 0.0000 0.0000 Sr
0.0000 0.0000 0.5000 P
0.5000 0.5000 0.5000 Os
0.0000 0.5000 0.0000 Cl
0.5000 0.0000 0.0000 Cl
```

An optimized crystal structure of ScCd. Source: Alexandria via LeMat-Bulk, functional PBE.

## Properties
Crystal system: hexagonal
E_form: -0.15 eV per formula unit
Density of states at the Fermi level: 1.00 states/eV/atom

Cell and atoms, written as POSCAR:
```
ScCd
1.0
3.2779 0.0000 0.0000
-1.6389 2.8387 0.0000
0.0000 0.0000 4.9898
Sc Cd
1 1
direct
0.0000 0.0000 0.0000 Sc
0.6667 0.3333 0.5000 Cd
```

An optimized crystal structure of Hg2IrOs. Source: Alexandria via LeMat-Bulk, functional PBE.

## Properties
Crystal system: tetragonal
E_form: 3.85 eV per formula unit
Density of states at the Fermi level: 1.15 states/eV/atom
E above lowest polymorph: 0.541 eV per atom

Cell and atoms, written as POSCAR:
```
Hg2IrOs
1.0
-2.0517 2.0517 4.1874
2.0517 -2.0517 4.1874
2.0517 2.0517 -4.1874
Hg Ir Os
2 1 1
direct
0.2500 0.7500 0.5000 Hg
0.7500 0.2500 0.5000 Hg
0.0000 0.0000 0.0000 Ir
0.5000 0.5000 0.0000 Os
```

An optimized crystal structure of YHoAgAu. Source: Alexandria via LeMat-Bulk, functional PBE.

## Properties
Crystal system: tetragonal
E_form: -2.41 eV per formula unit
Density of states at the Fermi level: 0.64 states/eV/atom
E above lowest polymorph: 0.000 eV per atom

Cell and atoms, written as POSCAR:
```
YHoAgAu
1.0
3.5995 0.0000 0.0000
0.0000 3.5995 0.0000
0.0000 0.0000 7.2728
Y Ho Ag Au
1 1 1 1
direct
0.0000 0.0000 0.0000 Y
0.0000 0.0000 0.5100 Ho
0.5000 0.5000 0.2604 Ag
0.5000 0.5000 0.7481 Au
```

An optimized crystal structure of Tb3Re2Si4. Source: Alexandria via LeMat-Bulk, functional PBE.

## Properties
Crystal system: monoclinic
Density of states at the Fermi level: 0.48 states/eV/atom
ΔE_f (raw): -58.58 kJ per mole of atoms

Cell and atoms, written as POSCAR:
```
Tb3Re2Si4
1.0
5.4136 -2.1029 0.0000
5.4136 2.1029 0.0000
-2.7336 0.0000 7.6745
Tb Re Si
3 2 4
direct
0.0000 0.0000 0.0000 Tb
0.3789 0.3789 0.3004 Tb
0.6211 0.6211 0.6996 Tb
0.3189 0.3189 0.6473 Re
0.6811 0.6811 0.3527 Re
0.0979 0.0979 0.4177 Si
0.2865 0.2865 0.9241 Si
0.7135 0.7135 0.0759 Si
0.9021 0.9021 0.5823 Si
```

An optimized crystal structure of Er4ZnOs. Source: Alexandria via LeMat-Bulk, functional PBE.

## Properties
Crystal system: cubic
E_form: -1.59 eV per formula unit
Density of states at the Fermi level: 1.28 states/eV/atom
E above lowest polymorph: 0.000 eV per atom

Cell and atoms, written as POSCAR:
```
Er4ZnOs
1.0
0.0000 6.6678 6.6678
6.6678 0.0000 6.6678
6.6678 6.6678 0.0000
Er Zn Os
16 4 4
direct
0.1907 0.1907 0.8093 Er
0.1907 0.8093 0.1907 Er
0.1907 0.8093 0.8093 Er
0.3996 0.3996 0.3996 Er
0.3996 0.3996 0.8011 Er
0.3996 0.8011 0.3996 Er
0.5572 0.5572 0.9428 Er
0.5572 0.9428 0.5572 Er
0.5572 0.9428 0.9428 Er
0.8011 0.3996 0.3996 Er
0.8093 0.1907 0.1907 Er
0.8093 0.1907 0.8093 Er
0.8093 0.8093 0.1907 Er
0.9428 0.5572 0.5572 Er
0.9428 0.5572 0.9428 Er
0.9428 0.9428 0.5572 Er
0.1732 0.1732 0.1732 Zn
0.1732 0.1732 0.4805 Zn
0.1732 0.4805 0.1732 Zn
0.4805 0.1732 0.1732 Zn
0.1696 0.6101 0.6101 Os
0.6101 0.1696 0.6101 Os
0.6101 0.6101 0.1696 Os
0.6101 0.6101 0.6101 Os
```

An optimized crystal structure of BaCd2NiHg. Source: Alexandria via LeMat-Bulk, functional PBE.

## Properties
Crystal system: tetragonal
E_form: -1.01 eV per formula unit
Density of states at the Fermi level: 0.71 states/eV/atom
E above lowest polymorph: 0.000 eV per atom

Cell and atoms, written as POSCAR:
```
BaCd2NiHg
1.0
5.1093 0.0000 0.0000
0.0000 5.1093 0.0000
0.0000 0.0000 5.1825
Ba Cd Ni Hg
1 2 1 1
direct
0.0000 0.0000 0.0000 Ba
0.0000 0.5000 0.5000 Cd
0.5000 0.0000 0.5000 Cd
0.5000 0.5000 0.5000 Ni
0.5000 0.5000 0.0000 Hg
```

An optimized crystal structure of Re2Ru2Rh. Source: Alexandria via LeMat-Bulk, functional PBE.

## Properties
Crystal system: tetragonal
E_form: 1.20 eV per formula unit
Density of states at the Fermi level: 1.03 states/eV/atom
E above lowest polymorph: 0.244 eV per atom

Cell and atoms, written as POSCAR:
```
Re2Ru2Rh
1.0
7.4321 0.0000 0.0000
0.0000 7.4321 0.0000
0.0000 0.0000 2.7682
Re Ru Rh
4 4 2
direct
0.1245 0.3755 0.0000 Re
0.3755 0.8755 0.0000 Re
0.6245 0.1245 0.0000 Re
0.8755 0.6245 0.0000 Re
0.1695 0.6695 0.5000 Ru
0.3305 0.1695 0.5000 Ru
0.6695 0.8305 0.5000 Ru
0.8305 0.3305 0.5000 Ru
0.0000 0.0000 0.0000 Rh
0.5000 0.5000 0.0000 Rh
```

An optimized crystal structure of Cs16K7Na6. Source: Alexandria via LeMat-Bulk, functional PBE.

## Properties
Crystal system: cubic
E_form: 2.74 eV per formula unit
Density of states at the Fermi level: 1.02 states/eV/atom

Cell and atoms, written as POSCAR:
```
Cs16K7Na6
1.0
0.0000 11.3393 11.3393
11.3393 0.0000 11.3393
11.3393 11.3393 0.0000
Cs K Na
16 7 6
direct
0.0775 0.6408 0.6408 Cs
0.1212 0.1212 0.1212 Cs
0.1212 0.1212 0.6364 Cs
0.1212 0.6364 0.1212 Cs
0.3592 0.3592 0.3592 Cs
0.3592 0.3592 0.9225 Cs
0.3592 0.9225 0.3592 Cs
0.3636 0.8788 0.8788 Cs
0.6364 0.1212 0.1212 Cs
0.6408 0.0775 0.6408 Cs
0.6408 0.6408 0.0775 Cs
0.6408 0.6408 0.6408 Cs
0.8788 0.3636 0.8788 Cs
0.8788 0.8788 0.3636 Cs
0.8788 0.8788 0.8788 Cs
0.9225 0.3592 0.3592 Cs
0.0000 0.0000 0.0000 K
0.0000 0.0000 0.5000 K
0.0000 0.5000 0.0000 K
0.0000 0.5000 0.5000 K
0.5000 0.0000 0.0000 K
0.5000 0.0000 0.5000 K
0.5000 0.5000 0.0000 K
0.3851 0.3851 0.6149 Na
0.3851 0.6149 0.3851 Na
0.3851 0.6149 0.6149 Na
0.6149 0.3851 0.3851 Na
0.6149 0.3851 0.6149 Na
0.6149 0.6149 0.3851 Na
```

An optimized crystal structure of TcP2SeS. Source: Alexandria via LeMat-Bulk, functional PBE.

## Properties
Crystal system: tetragonal
Density of states at the Fermi level: 0.65 states/eV/atom
ΔE_f (raw): 48.35 kJ per mole of atoms
E above lowest polymorph: 0.000 eV per atom

Cell and atoms, written as POSCAR:
```
TcP2SeS
1.0
4.7433 0.0000 0.0000
0.0000 4.7433 0.0000
0.0000 0.0000 4.3805
Tc P Se S
1 2 1 1
direct
0.0000 0.0000 0.0000 Tc
0.0000 0.5000 0.0000 P
0.5000 0.0000 0.0000 P
0.5000 0.5000 0.5000 Se
0.0000 0.0000 0.5000 S
```

An optimized crystal structure of ZnFeTe2. Source: Alexandria via LeMat-Bulk, functional PBE.

## Properties
Crystal system: trigonal
Density of states at the Fermi level: 1.15 states/eV/atom
ΔE_f (raw): 11.99 kJ per mole of atoms

Cell and atoms, written as POSCAR:
```
ZnFeTe2
1.0
1.9135 1.1047 7.9218
-1.9135 1.1047 7.9218
0.0000 -2.2095 7.9218
Zn Fe Te
1 1 2
direct
0.0000 0.0000 0.0000 Zn
0.5000 0.5000 0.5000 Fe
0.1120 0.1120 0.1120 Te
0.8880 0.8880 0.8880 Te
```